# PBE with a Hubbard U Pa2CrCoO8, relaxed
# Total DFT energy (no corrections): -8.30 eV/atom
data_Pa2CrCoO8
_chemical_formula_sum 'Pa2 Cr1 Co1 O8'
_symmetry_space_group_name_H-M 'P -3 m 1'
_symmetry_Int_Tables_number 164
_symmetry_space_group_name_Hall '-P 3 2"'
_cell_length_a 6.3325
_cell_length_b 6.3325
_cell_length_c 4.7724
_cell_angle_alpha 90.00
_cell_angle_beta 90.00
_cell_angle_gamma 120.00
loop_
_atom_site_label
_atom_site_type_symbol
_atom_site_fract_x
_atom_site_fract_y
_atom_site_fract_z
Pa1 Pa 0.3333 0.6667 0.2204
Cr1 Cr 0.0000 0.0000 0.5000
Co1 Co 0.0000 0.0000 0.0000
O1 O 0.1405 0.2810 0.2382
O2 O 0.3333 0.6667 0.7978


# PBE with a Hubbard U Rb3LiMn2F9, relaxed
# Total DFT energy (no corrections): -5.17 eV/atom
# Density of states at the Fermi level: 2.68 states/eV per cell
data_Rb3LiMn2F9
_chemical_formula_sum 'Rb3 Li1 Mn2 F9'
_symmetry_space_group_name_H-M 'P -3 m 1'
_symmetry_Int_Tables_number 164
_symmetry_space_group_name_Hall '-P 3 2"'
_cell_length_a 5.9395
_cell_length_b 5.9395
_cell_length_c 7.3058
_cell_angle_alpha 90.00
_cell_angle_beta 90.00
_cell_angle_gamma 120.00
loop_
_atom_site_label
_atom_site_type_symbol
_atom_site_fract_x
_atom_site_fract_y
_atom_site_fract_z
Rb1 Rb 0.0000 0.0000 0.0000
Rb2 Rb 0.3333 0.6667 0.6522
Li1 Li 0.0000 0.0000 0.5000
Mn1 Mn 0.3333 0.6667 0.1688
F1 F 0.0000 0.5000 0.0000
F2 F 0.1702 0.3403 0.3232